No. 1
# Pm7Pr12Er PBE-GGA relaxed
data_Pm7Pr12Er
_space_group_name_H-M_alt 'R -3'
_space_group_IT_number 148
_space_group_name_Hall '-R 3'
_cell_length_a 19.0592
_cell_length_b 19.0592
_cell_length_c 6.9684
_cell_angle_alpha 90.00
_cell_angle_beta 90.00
_cell_angle_gamma 120.00
loop_
_atom_site_label
_atom_site_type_symbol
_atom_site_fract_x
_atom_site_fract_y
_atom_site_fract_z
_atom_site_occupancy
Pm1 Pm 0.0000 0.0000 0.0000 1
Pm2 Pm 0.0063 0.1546 0.2799 1
Pr1 Pr 0.9999 0.2126 0.7910 1
Pr2 Pr 0.0075 0.5381 0.2412 1
Er1 Er 0.0000 0.0000 0.5000 1
# - relative energy among the computed polymorphs (eV/atom) = 0.048
# - calculated total energy (eV/atom) = -4.497
# - crystal system = trigonal


No. 2
# Pm5PrEr4 PBE-GGA relaxed
data_Pm5PrEr4
_space_group_name_H-M_alt 'C 1 2/m 1'
_space_group_IT_number 12
_space_group_name_Hall '-C 2y'
_cell_length_a 17.1845
_cell_length_b 3.5548
_cell_length_c 11.4771
_cell_angle_alpha 90.00
_cell_angle_beta 109.12
_cell_angle_gamma 90.00
loop_
_atom_site_label
_atom_site_type_symbol
_atom_site_fract_x
_atom_site_fract_y
_atom_site_fract_z
_atom_site_occupancy
Pm1 Pm 0.0000 0.0000 0.0000 1
Pm2 Pm 0.1899 0.5000 0.5788 1
Pm3 Pm 0.2111 0.5000 0.1156 1
Pr1 Pr 0.0000 0.0000 0.5000 1
Er1 Er 0.0826 0.5000 0.7925 1
Er2 Er 0.1050 0.0000 0.2964 1
# - relative energy among the computed polymorphs (eV/atom) = 0.000
# - calculated total energy (eV/atom) = -4.641
# - crystal system = monoclinic


No. 3
# Pm2Pr12Er5 PBE-GGA relaxed
data_Pm2Pr12Er5
_space_group_name_H-M_alt 'C 1 2/m 1'
_space_group_IT_number 12
_space_group_name_Hall '-C 2y'
_cell_length_a 13.1396
_cell_length_b 11.7798
_cell_length_c 9.5265
_cell_angle_alpha 90.00
_cell_angle_beta 116.28
_cell_angle_gamma 90.00
loop_
_atom_site_label
_atom_site_type_symbol
_atom_site_fract_x
_atom_site_fract_y
_atom_site_fract_z
_atom_site_occupancy
Pm1 Pm 0.0000 0.2254 0.0000 1
Pr1 Pr 0.0781 0.0000 0.7862 1
Pr2 Pr 0.1080 0.2191 0.4169 1
Pr3 Pr 0.1154 0.5000 0.9404 1
Pr4 Pr 0.1953 0.2564 0.8014 1
Er1 Er 0.0000 0.5000 0.5000 1
Er2 Er 0.1896 0.0000 0.2339 1
Er3 Er 0.1960 0.5000 0.3396 1
# - relative energy among the computed polymorphs (eV/atom) = 0.000
# - calculated total energy (eV/atom) = -4.611
# - crystal system = monoclinic